First-principles (PBE) data for K2CrSnBr6 after structural relaxation, as listed in Alexandria.

```
data_K2CrSnBr6
_cell_length_a 7.5701
_cell_length_b 7.8820
_cell_length_c 10.9213
_cell_angle_alpha 90.00
_cell_angle_beta 90.42
_cell_angle_gamma 90.00
_space_group_name_H-M_alt 'P 1'
_space_group_IT_number 1
loop_
_space_group_symop_operation_xyz
'x,y,z'
loop_
_atom_site_label
_atom_site_type_symbol
_atom_site_fract_x
_atom_site_fract_y
_atom_site_fract_z
K1 K 0.0229 0.9287 0.2467
K2 K 0.5229 0.5713 0.7467
K3 K 0.9771 0.0713 0.7533
K4 K 0.4771 0.4287 0.2533
Cr1 Cr 0.5000 0.0000 0.5000
Cr2 Cr 0.0000 0.5000 0.0000
Sn1 Sn 0.5000 0.0000 0.0000
Sn2 Sn 0.0000 0.5000 0.5000
Br1 Br 0.2857 0.6865 0.0450
Br2 Br 0.7857 0.8135 0.5450
Br3 Br 0.7143 0.3135 0.9550
Br4 Br 0.2143 0.1865 0.4550
Br5 Br 0.3159 0.7162 0.4544
Br6 Br 0.8159 0.7838 0.9544
Br7 Br 0.6841 0.2838 0.5456
Br8 Br 0.1841 0.2162 0.0456
Br9 Br 0.9104 0.5166 0.2349
Br10 Br 0.4104 0.9834 0.7349
Br11 Br 0.0896 0.4834 0.7651
Br12 Br 0.5896 0.0166 0.2651
```

Calculated values
Space-group type: No. 14
Electronic total energy: -3.70 eV/atom

First-principles (PBE) data for ScBeCr2S after structural relaxation, as listed in Alexandria.

```
data_ScBeCr2S
_cell_length_a 4.2138
_cell_length_b 4.7710
_cell_length_c 4.2138
_cell_angle_alpha 90.00
_cell_angle_beta 90.00
_cell_angle_gamma 90.00
_space_group_name_H-M_alt 'P 1'
_space_group_IT_number 1
loop_
_space_group_symop_operation_xyz
'x,y,z'
loop_
_atom_site_label
_atom_site_type_symbol
_atom_site_fract_x
_atom_site_fract_y
_atom_site_fract_z
Sc1 Sc 0.0000 0.5000 0.0000
Cr1 Cr 0.0000 0.0000 0.5000
Cr2 Cr 0.5000 0.0000 0.0000
S1 S 0.5000 0.5000 0.5000
Be1 Be 0.0000 0.0000 0.0000
```

Calculated values
Space-group type: No. 123
Electronic total energy: -6.27 eV/atom